Pm2Ho3In PBE optimized geometry; ρ = 8.2 g/cm3; total magnetization = 0.00 μB per cell; offset from the most stable computed form = 0 meV/atom; formation enthalpy at 0 K = -0.15 eV/atom; calculated total energy = -4.479 eV/atom; Fermi-level density of states = 1.154 states/eV/atom
1.0
-0.779 1.490 4.618
3.601 -2.901 1.543
3.172 7.099 -1.755
Pm Ho In
2 3 1
Cartesian
3.363 3.820 -0.665 Pm
3.410 0.378 0.454 Pm
1.249 2.606 1.985 Ho
4.744 3.081 2.422 Ho
1.411 -0.706 3.081 Ho
0.000 0.000 0.000 In